1.
Material: Ca2As3
Method: DFT, GGA-PBEsol
State: optimized geometry Values from VASP.

Structure (Quantum ESPRESSO input):
```
&SYSTEM
  ibrav = 0, nat = 40, ntyp = 2
/
ATOMIC_SPECIES
Ca 40.08 Ca.upf
As 74.92 As.upf
ATOMIC_POSITIONS angstrom
Ca 1.488 7.310 6.690
Ca 1.488 10.348 0.110
As 2.311 9.249 4.576
Ca 2.598 5.879 10.134
As 5.204 5.222 11.443
Ca 4.276 1.317 13.439
Ca 5.278 8.829 3.400
As 2.612 3.101 4.639
Ca 4.276 4.356 6.860
As 4.445 10.477 1.054
As 3.453 3.256 11.326
Ca 3.165 5.786 3.416
As 2.612 2.731 2.136
As 4.240 1.514 5.724
As 0.300 0.143 2.270
Ca 3.165 0.046 3.359
As 0.560 11.215 4.693
As 4.445 7.181 5.746
As 5.464 5.976 9.045
As 1.319 4.484 7.803
As 1.523 10.152 7.826
As 0.300 5.689 4.505
As 3.151 8.934 11.414
Ca 0.211 8.749 10.162
As 2.311 8.409 2.224
Ca 4.341 10.269 6.759
As 3.151 8.564 8.911
Ca 1.423 4.276 13.509
As 0.560 6.443 2.107
As 4.240 4.319 1.051
Ca 2.598 11.619 10.190
As 5.204 0.450 8.856
As 1.319 1.189 12.496
Ca 0.486 2.836 10.150
Ca 4.341 7.389 0.041
As 5.464 11.522 11.279
As 3.453 2.416 8.974
Ca 5.553 2.916 3.387
As 1.523 7.346 12.498
Ca 1.423 1.396 6.791
CELL_PARAMETERS angstrom
5.764 0.000 0.000
0.000 11.825 0.025
0.000 -0.160 13.524
```

---

2.
Material: CaAs3
Method: DFT, GGA-PBEsol
State: optimized geometry Values from VASP.

Structure (Quantum ESPRESSO input):
```
&SYSTEM
  ibrav = 0, nat = 4, ntyp = 2
/
ATOMIC_SPECIES
As 74.92 As.upf
Ca 40.08 Ca.upf
ATOMIC_POSITIONS angstrom
As -1.024 -3.939 2.727
As -0.240 -3.087 0.523
As -0.894 -0.972 2.514
Ca 0.000 0.000 0.000
CELL_PARAMETERS angstrom
-2.305 -2.222 -1.679
2.830 -2.860 -0.099
-1.788 -1.943 5.028
```

---

3.
Material: CaAs
Method: DFT, GGA-PBEsol
State: optimized geometry Values from VASP.

Structure (Quantum ESPRESSO input):
```
&SYSTEM
  ibrav = 0, nat = 4, ntyp = 2
/
ATOMIC_SPECIES
As 74.92 As.upf
Ca 40.08 Ca.upf
ATOMIC_POSITIONS angstrom
As 3.282 -0.726 0.222
Ca 1.449 -3.018 0.371
As 0.000 0.000 0.000
Ca 1.227 -1.138 -2.415
CELL_PARAMETERS angstrom
-0.606 -3.429 -2.266
3.059 1.154 -2.564
2.278 -1.469 5.423
```

---

4.
Material: Ca4As3
Method: DFT, GGA-PBEsol
State: optimized geometry Values from VASP.

Structure (Quantum ESPRESSO input):
```
&SYSTEM
  ibrav = 0, nat = 56, ntyp = 2
/
ATOMIC_SPECIES
Ca 40.08 Ca.upf
As 74.92 As.upf
ATOMIC_POSITIONS angstrom
Ca 0.240 -10.772 -0.409
Ca -7.220 -6.346 -3.657
Ca -0.612 -8.948 -5.627
Ca -2.886 -13.217 0.097
As -6.782 -8.893 -2.446
Ca -6.040 -9.705 2.959
As 2.844 -11.885 2.483
As -3.717 -14.012 -2.473
As -3.863 -5.579 -2.005
Ca 1.092 -14.003 0.872
Ca -7.826 -10.759 -0.039
As -0.621 -0.366 -1.041
As 1.809 -7.413 -4.741
Ca -4.132 -7.021 4.931
Ca 1.700 -7.584 -1.747
As 3.463 -9.864 -1.520
As -1.110 -3.892 2.030
As -2.836 -2.577 -3.673
Ca 3.140 -9.084 1.322
Ca -1.220 -15.367 -3.008
Ca 1.325 -2.390 0.050
As -5.127 -11.344 0.775
As -2.453 -9.579 4.829
Ca -4.411 -4.754 -4.837
As 0.545 -13.178 -1.960
Ca 2.721 -9.052 -6.925
As 0.767 -11.454 -6.044
Ca -1.406 -6.693 3.191
Ca 3.035 -4.523 -2.565
Ca 2.175 -11.234 -3.616
Ca 0.409 -13.387 4.462
As -1.021 -12.422 2.052
Ca 4.508 -7.998 -3.927
As -2.586 -9.850 -1.265
Ca -1.772 -6.931 -0.559
Ca -2.706 -9.809 1.661
As 0.247 -8.254 1.215
Ca -0.433 -5.540 -4.063
Ca -4.059 -4.481 1.648
Ca -5.019 -11.173 -2.219
As -2.298 -6.336 -6.017
Ca 5.867 -8.756 -0.418
Ca 1.354 -5.462 1.113
As 0.399 -4.745 -1.493
Ca -0.127 -6.388 -7.870
Ca -5.494 -7.523 -0.350
As 4.187 -6.198 -0.317
As -4.085 -7.303 2.079
Ca -2.098 -3.390 -0.958
Ca 0.380 -10.315 3.400
As -4.432 -2.614 -7.437
As -3.565 -10.503 -5.181
As -0.732 -8.907 -2.701
Ca -3.559 -7.985 -3.557
As -0.483 -16.180 -0.293
Ca -1.546 -11.826 -3.406
CELL_PARAMETERS angstrom
-5.053 -2.980 -8.478
7.961 -7.930 -1.957
-6.226 -7.847 6.469
```

---

no.,DFT total energy (eV/f.u.)
1,-24.1
2,-18.6
3,-8.9
4,-32.1